An optimized crystal structure of ScCrMo2. Source: the Alexandria database, functional PBE.

```
ScCrMo2
1.0
4.9893 -1.5656 0.0000
4.9893 1.5656 0.0000
-2.0909 0.0000 4.0617
Sc Cr Mo
1 1 2
Direct
0.0000 0.0000 0.0000
0.7635 0.7635 0.2642
0.2337 0.2337 0.7333
0.4876 0.4876 0.4876
```

Output
Total energy in eV per cell: -36.91
Crystal system: monoclinic
Excess energy over the best structure of this formula in the dataset in meV/atom: 52
Total magnetic moment in μB/f.u.: 0.00
Energy of formation in eV per atom: 0.176
Density of states at the Fermi level in states/eV per cell: 4.93
Mass density in g/cm³: 7.56

An optimized crystal structure of Mg2AsCl. Source: the Alexandria database, functional PBE.

```
Mg2AsCl
1.0
0.0000 3.4902 3.4902
3.4902 0.0000 3.4902
3.4902 3.4902 0.0000
Mg As Cl
2 1 1
Direct
0.0000 0.0000 0.0000
0.2500 0.2500 0.2500
0.5000 0.5000 0.5000
0.7500 0.7500 0.7500
```

Output
Total energy in eV per cell: -9.88
Crystal system: cubic
Raw formation energy in meV per atom: -48
Excess energy over the best structure of this formula in the dataset in meV/atom: 901
Total magnetic moment in μB/f.u.: 0.00
Density of states at the Fermi level in states/eV per cell: 2.08
Mass density in g/cm³: 3.10

An optimized crystal structure of Ac4BiPtSe2. Source: the Alexandria database, functional PBE.

```
Ac4BiPtSe2
1.0
7.9923 0.0000 0.0000
0.0000 4.5225 0.0000
-2.6207 0.0000 7.6045
Ac Bi Pt Se
4 1 1 2
Direct
0.2355 0.0000 0.2253
0.2582 0.5000 0.7644
0.7418 0.5000 0.2356
0.7645 0.0000 0.7747
0.0000 0.0000 0.5000
0.0000 0.5000 0.0000
0.5000 0.0000 0.0000
0.5000 0.5000 0.5000
```

Output
Total energy in eV per cell: -44.57
Crystal system: monoclinic
Raw formation energy in meV per atom: -1406
Total magnetic moment in μB/f.u.: 0.00
Density of states at the Fermi level in states/eV per cell: 6.13
Mass density in g/cm³: 8.88

An optimized crystal structure of LiHf3N. Source: the Alexandria database, functional PBE.

```
LiHf3N
1.0
4.4260 0.0000 0.0000
0.0000 4.4260 0.0000
0.0000 0.0000 4.4260
Li Hf N
1 3 1
Direct
0.0000 0.0000 0.0000
0.0000 0.5000 0.5000
0.5000 0.0000 0.5000
0.5000 0.5000 0.0000
0.5000 0.5000 0.5000
```

Output
Total energy in eV per cell: -42.82
Crystal system: cubic
Raw formation energy in meV per atom: -545
Excess energy over the best structure of this formula in the dataset in meV/atom: 0
Total magnetic moment in μB/f.u.: 0.00
Density of states at the Fermi level in states/eV per cell: 2.71
Mass density in g/cm³: 10.66

An optimized crystal structure of Ce2TiTl. Source: the Alexandria database, functional PBE.

```
Ce2TiTl
1.0
0.0000 3.7871 3.7871
3.7871 0.0000 3.7871
3.7871 3.7871 0.0000
Ce Ti Tl
2 1 1
Direct
0.2500 0.2500 0.2500
0.7500 0.7500 0.7500
0.0000 0.0000 0.0000
0.5000 0.5000 0.5000
```

Output
Total energy in eV per cell: -21.70
Crystal system: cubic
Excess energy over the best structure of this formula in the dataset in meV/atom: 119
Total magnetic moment in μB/f.u.: 4.42
Energy of formation in eV per atom: 0.108
Density of states at the Fermi level in states/eV per cell: 10.80
Mass density in g/cm³: 8.14

An optimized crystal structure of Ac2LaNd3Te6. Source: the Alexandria database, functional PBE.

```
Ac2LaNd3Te6
1.0
3.9620 -6.8998 0.0000
3.9620 6.8998 0.0000
-2.6638 0.0000 7.5083
Ac La Nd Te
2 1 3 6
Direct
0.1659 0.8341 0.0000
0.8341 0.1659 0.0000
0.5000 0.5000 0.0000
0.0000 0.0000 0.5000
0.3287 0.6713 0.5000
0.6713 0.3287 0.5000
0.0862 0.4139 0.7405
0.2612 0.2612 0.2646
0.4139 0.0862 0.7405
0.5861 0.9138 0.2595
0.7388 0.7388 0.7354
0.9138 0.5861 0.2595
```

Output
Total energy in eV per cell: -64.00
Crystal system: monoclinic
Raw formation energy in meV per atom: -1475
Total magnetic moment in μB/f.u.: 0.00
Density of states at the Fermi level in states/eV per cell: 7.11
Mass density in g/cm³: 7.25

An optimized crystal structure of LaDyCdRh. Source: the Alexandria database, functional PBE.

```
LaDyCdRh
1.0
0.0000 3.6708 3.6708
3.6708 0.0000 3.6708
3.6708 3.6708 0.0000
La Dy Cd Rh
1 1 1 1
Direct
0.0000 0.0000 0.0000
0.5000 0.5000 0.5000
0.2500 0.2500 0.2500
0.7500 0.7500 0.7500
```

Output
Total energy in eV per cell: -19.64
Crystal system: cubic
Total magnetic moment in μB/f.u.: 0.00
Energy of formation in eV per atom: -0.461
Density of states at the Fermi level in states/eV per cell: 2.27
Mass density in g/cm³: 8.67

An optimized crystal structure of TlFeIrBr2. Source: the Alexandria database, functional PBE.

```
TlFeIrBr2
1.0
5.7458 0.0000 0.0000
0.0000 5.7458 0.0000
0.0000 0.0000 5.3242
Tl Fe Ir Br
1 1 1 2
Direct
0.0000 0.0000 0.0000
0.0000 0.0000 0.5000
0.5000 0.5000 0.5000
0.0000 0.5000 0.0000
0.5000 0.0000 0.0000
```

Output
Total energy in eV per cell: -14.64
Crystal system: tetragonal
Raw formation energy in meV per atom: 1680
Total magnetic moment in μB/f.u.: 7.05
Density of states at the Fermi level in states/eV per cell: 4.04
Mass density in g/cm³: 5.78